*a*
## LiTi3Cd (GGA-PBE)

Data for LiTi3Cd after structural relaxation.

Unit cell a=4.482 b=4.482 c=4.482 alpha=90.00 beta=90.00 gamma=90.00
Positions (direct):
Li1 0.000 0.000 0.000
Ti1 0.000 0.000 0.500
Ti2 0.000 0.500 0.000
Ti3 0.500 0.000 0.000
Cd1 0.500 0.500 0.500

Total moment = 0.00 μB per formula unit



*b*
## LiTi3Cd (GGA-PBE)

Data for LiTi3Cd after structural relaxation.

Unit cell a=5.113 b=5.113 c=5.113 alpha=90.00 beta=90.00 gamma=90.00
Positions (direct):
Li1 0.000 0.000 0.000
Ti1 0.000 0.500 0.500
Ti2 0.500 0.000 0.500
Ti3 0.500 0.500 0.000
Cd1 0.500 0.500 0.500

Total moment = 5.14 μB per formula unit



Most stable = *a*



*a*
## Li2Tl2Cd (GGA-PBE)

Data for Li2Tl2Cd after structural relaxation.

Unit cell a=8.214 b=8.214 c=3.343 alpha=90.00 beta=90.00 gamma=90.00
Positions (direct):
Li1 0.160 0.340 0.000
Li2 0.340 0.840 0.000
Li3 0.660 0.160 0.000
Li4 0.840 0.660 0.000
Tl1 0.140 0.640 0.500
Tl2 0.360 0.140 0.500
Tl3 0.640 0.860 0.500
Tl4 0.860 0.360 0.500
Cd1 0.000 0.000 0.500
Cd2 0.500 0.500 0.500

Total moment = 0.00 μB per formula unit



*b*
## Li2Tl2Cd (GGA-PBE)

Data for Li2Tl2Cd after structural relaxation.

Unit cell a=9.509 b=9.509 c=4.903 alpha=90.59 beta=90.59 gamma=29.90
Positions (direct):
Li1 0.159 0.666 0.747
Li2 0.334 0.841 0.753
Li3 0.666 0.159 0.247
Li4 0.841 0.334 0.253
Tl1 0.065 0.562 0.248
Tl2 0.438 0.935 0.252
Tl3 0.562 0.065 0.748
Tl4 0.935 0.438 0.752
Cd1 0.254 0.746 0.250
Cd2 0.746 0.254 0.750

Total moment = 0.00 μB per formula unit



Most stable = *b*



*a*
## Li2Tl2Cd (GGA-PBE)

Data for Li2Tl2Cd after structural relaxation.

Unit cell a=7.705 b=7.705 c=7.705 alpha=149.59 beta=149.59 gamma=43.54
Positions (direct):
Li1 0.250 0.750 0.500
Li2 0.750 0.250 0.500
Tl1 0.106 0.106 0.000
Tl2 0.894 0.894 0.000
Cd1 0.500 0.500 0.000

Total moment = 0.00 μB per formula unit



*b*
## Li2Tl2Cd (GGA-PBE)

Data for Li2Tl2Cd after structural relaxation.

Unit cell a=7.190 b=7.190 c=7.190 alpha=115.49 beta=82.12 gamma=134.97
Positions (direct):
Li1 0.065 0.167 0.232
Li2 0.435 0.667 0.102
Li3 0.565 0.333 0.898
Li4 0.935 0.833 0.768
Tl1 0.205 0.850 0.055
Tl2 0.295 0.350 0.646
Tl3 0.705 0.650 0.354
Tl4 0.795 0.150 0.945
Cd1 0.250 0.750 0.500
Cd2 0.750 0.250 0.500

Total moment = 0.00 μB per formula unit



*c*
## Li2Tl2Cd (GGA-PBE)

Data for Li2Tl2Cd after structural relaxation.

Unit cell a=7.677 b=7.677 c=3.736 alpha=90.00 beta=90.00 gamma=90.00
Positions (direct):
Li1 0.139 0.361 0.000
Li2 0.361 0.861 0.000
Li3 0.639 0.139 0.000
Li4 0.861 0.639 0.000
Tl1 0.161 0.661 0.500
Tl2 0.339 0.161 0.500
Tl3 0.661 0.839 0.500
Tl4 0.839 0.339 0.500
Cd1 0.000 0.000 0.000
Cd2 0.500 0.500 0.000

Total moment = 0.00 μB per formula unit



Most stable = *c*



*a*
## Li5Tl2Cd2 (GGA-PBE)

Data for Li5Tl2Cd2 after structural relaxation.

Unit cell a=8.131 b=8.131 c=6.812 alpha=90.00 beta=90.00 gamma=56.81
Positions (direct):
Li1 0.000 0.000 0.000
Li2 0.040 0.686 0.670
Li3 0.186 0.540 0.170
Li4 0.314 0.960 0.670
Li5 0.460 0.814 0.170
Li6 0.500 0.500 0.500
Li7 0.540 0.186 0.830
Li8 0.686 0.040 0.330
Li9 0.814 0.460 0.830
Li10 0.960 0.314 0.330
Tl1 0.210 0.210 0.000
Tl2 0.290 0.290 0.500
Tl3 0.710 0.710 0.500
Tl4 0.790 0.790 0.000
Cd1 0.147 0.853 0.371
Cd2 0.353 0.647 0.871
Cd3 0.647 0.353 0.129
Cd4 0.853 0.147 0.629

Total moment = 0.00 μB per formula unit



*b*
## Li5Tl2Cd2 (GGA-PBE)

Data for Li5Tl2Cd2 after structural relaxation.

Unit cell a=4.876 b=4.876 c=8.849 alpha=93.50 beta=93.50 gamma=57.64
Positions (direct):
Li1 0.000 0.000 0.000
Li2 0.002 0.002 0.342
Li3 0.329 0.329 0.774
Li4 0.671 0.671 0.226
Li5 0.998 0.998 0.658
Tl1 0.338 0.338 0.110
Tl2 0.662 0.662 0.890
Cd1 0.334 0.334 0.452
Cd2 0.666 0.666 0.548

Total moment = 0.00 μB per formula unit



Most stable = *b*